1.
# PBE LiMgRh2C, optimized geometry
# V: 13.9 Å³ per atom
data_LiMgRh2C
_cell_length_a 4.019
_cell_length_b 4.019
_cell_length_c 4.295
_cell_angle_alpha 90.00
_cell_angle_beta 90.00
_cell_angle_gamma 90.00
_space_group_name_H-M_alt 'P 1'
_space_group_IT_number 1
loop_
_space_group_symop_operation_xyz
'x,y,z'
loop_
_atom_site_label
_atom_site_type_symbol
_atom_site_fract_x
_atom_site_fract_y
_atom_site_fract_z
Li1 Li 0.000 0.000 0.000
Mg1 Mg 0.500 0.500 0.000
Rh1 Rh 0.000 0.500 0.500
Rh2 Rh 0.500 0.000 0.500
C1 C 0.500 0.500 0.500

***

2.
# PBE LiMgRh2C, optimized geometry
# V: 13.2 Å³ per atom
data_LiMgRh2C
_cell_length_a 4.011
_cell_length_b 4.011
_cell_length_c 4.109
_cell_angle_alpha 90.00
_cell_angle_beta 90.00
_cell_angle_gamma 90.00
_space_group_name_H-M_alt 'P 1'
_space_group_IT_number 1
loop_
_space_group_symop_operation_xyz
'x,y,z'
loop_
_atom_site_label
_atom_site_type_symbol
_atom_site_fract_x
_atom_site_fract_y
_atom_site_fract_z
Li1 Li 0.000 0.000 0.000
Mg1 Mg 0.500 0.500 0.000
Rh1 Rh 0.000 0.500 0.500
Rh2 Rh 0.500 0.000 0.500
C1 C 0.000 0.000 0.500

***

Which of them is the most stable, and which is the least stable? 2 and 1, in that order.

***

1.
# PBE LiMgRu2C, optimized geometry
# V: 13.9 Å³ per atom
data_LiMgRu2C
_cell_length_a 4.000
_cell_length_b 4.000
_cell_length_c 4.339
_cell_angle_alpha 90.00
_cell_angle_beta 90.00
_cell_angle_gamma 90.00
_space_group_name_H-M_alt 'P 1'
_space_group_IT_number 1
loop_
_space_group_symop_operation_xyz
'x,y,z'
loop_
_atom_site_label
_atom_site_type_symbol
_atom_site_fract_x
_atom_site_fract_y
_atom_site_fract_z
Li1 Li 0.000 0.000 0.000
Mg1 Mg 0.500 0.500 0.000
Ru1 Ru 0.000 0.500 0.500
Ru2 Ru 0.500 0.000 0.500
C1 C 0.500 0.500 0.500

***

2.
# PBE LiMgRu2C, optimized geometry
# V: 13.3 Å³ per atom
data_LiMgRu2C
_cell_length_a 4.002
_cell_length_b 4.002
_cell_length_c 4.157
_cell_angle_alpha 90.00
_cell_angle_beta 90.00
_cell_angle_gamma 90.00
_space_group_name_H-M_alt 'P 1'
_space_group_IT_number 1
loop_
_space_group_symop_operation_xyz
'x,y,z'
loop_
_atom_site_label
_atom_site_type_symbol
_atom_site_fract_x
_atom_site_fract_y
_atom_site_fract_z
Li1 Li 0.000 0.000 0.000
Mg1 Mg 0.500 0.500 0.000
Ru1 Ru 0.000 0.500 0.500
Ru2 Ru 0.500 0.000 0.500
C1 C 0.000 0.000 0.500

***

Which of them is the most stable, and which is the least stable? 2 and 1, in that order.

***

1.
# PBE LiMg2RuC, optimized geometry
# V: 15.4 Å³ per atom
data_LiMg2RuC
_cell_length_a 4.428
_cell_length_b 4.428
_cell_length_c 3.935
_cell_angle_alpha 90.00
_cell_angle_beta 90.00
_cell_angle_gamma 90.00
_space_group_name_H-M_alt 'P 1'
_space_group_IT_number 1
loop_
_space_group_symop_operation_xyz
'x,y,z'
loop_
_atom_site_label
_atom_site_type_symbol
_atom_site_fract_x
_atom_site_fract_y
_atom_site_fract_z
Li1 Li 0.000 0.000 0.000
Mg1 Mg 0.000 0.500 0.500
Mg2 Mg 0.500 0.000 0.500
Ru1 Ru 0.500 0.500 0.000
C1 C 0.500 0.500 0.500

***

2.
# PBE LiMg2RuC, optimized geometry
# V: 21.4 Å³ per atom
data_LiMg2RuC
_cell_length_a 4.876
_cell_length_b 4.876
_cell_length_c 4.501
_cell_angle_alpha 90.00
_cell_angle_beta 90.00
_cell_angle_gamma 90.00
_space_group_name_H-M_alt 'P 1'
_space_group_IT_number 1
loop_
_space_group_symop_operation_xyz
'x,y,z'
loop_
_atom_site_label
_atom_site_type_symbol
_atom_site_fract_x
_atom_site_fract_y
_atom_site_fract_z
Li1 Li 0.000 0.000 0.000
Mg1 Mg 0.000 0.500 0.500
Mg2 Mg 0.500 0.000 0.500
Ru1 Ru 0.000 0.000 0.500
C1 C 0.500 0.500 0.000

***

Which of them is the most stable, and which is the least stable? 1 and 2, in that order.

***

1.
# PBE Li2MnC2, optimized geometry
# V: 7.9 Å³ per atom
data_Li2MnC2
_cell_length_a 6.020
_cell_length_b 6.020
_cell_length_c 2.168
_cell_angle_alpha 90.00
_cell_angle_beta 90.00
_cell_angle_gamma 90.00
_space_group_name_H-M_alt 'P 1'
_space_group_IT_number 1
loop_
_space_group_symop_operation_xyz
'x,y,z'
loop_
_atom_site_label
_atom_site_type_symbol
_atom_site_fract_x
_atom_site_fract_y
_atom_site_fract_z
Li1 Li 0.113 0.387 0.000
Li2 Li 0.387 0.887 0.000
Li3 Li 0.613 0.113 0.000
Li4 Li 0.887 0.613 0.000
Mn1 Mn 0.000 0.000 0.000
Mn2 Mn 0.500 0.500 0.000
C1 C 0.183 0.683 0.500
C2 C 0.317 0.183 0.500
C3 C 0.683 0.817 0.500
C4 C 0.817 0.317 0.500

***

2.
# PBE Li2MnC2, optimized geometry
# V: 8.7 Å³ per atom
data_Li2MnC2
_cell_length_a 3.640
_cell_length_b 3.640
_cell_length_c 6.597
_cell_angle_alpha 90.00
_cell_angle_beta 90.00
_cell_angle_gamma 90.00
_space_group_name_H-M_alt 'P 1'
_space_group_IT_number 1
loop_
_space_group_symop_operation_xyz
'x,y,z'
loop_
_atom_site_label
_atom_site_type_symbol
_atom_site_fract_x
_atom_site_fract_y
_atom_site_fract_z
Li1 Li 0.000 0.000 0.143
Li2 Li 0.000 0.000 0.857
Li3 Li 0.500 0.500 0.357
Li4 Li 0.500 0.500 0.643
Mn1 Mn 0.000 0.000 0.500
Mn2 Mn 0.500 0.500 0.000
C1 C 0.000 0.500 0.250
C2 C 0.000 0.500 0.750
C3 C 0.500 0.000 0.250
C4 C 0.500 0.000 0.750

***

Which of them is the most stable, and which is the least stable? 1 and 2, in that order.

***

1.
# PBE Li3MnC, optimized geometry
# V: 12.0 Å³ per atom
data_Li3MnC
_cell_length_a 3.911
_cell_length_b 3.911
_cell_length_c 3.911
_cell_angle_alpha 90.00
_cell_angle_beta 90.00
_cell_angle_gamma 90.00
_space_group_name_H-M_alt 'P 1'
_space_group_IT_number 1
loop_
_space_group_symop_operation_xyz
'x,y,z'
loop_
_atom_site_label
_atom_site_type_symbol
_atom_site_fract_x
_atom_site_fract_y
_atom_site_fract_z
Li1 Li 0.000 0.000 0.500
Li2 Li 0.000 0.500 0.000
Li3 Li 0.500 0.000 0.000
Mn1 Mn 0.500 0.500 0.500
C1 C 0.000 0.000 0.000

***

2.
# PBE Li3MnC, optimized geometry
# V: 21.3 Å³ per atom
data_Li3MnC
_cell_length_a 4.742
_cell_length_b 4.742
_cell_length_c 4.742
_cell_angle_alpha 90.00
_cell_angle_beta 90.00
_cell_angle_gamma 90.00
_space_group_name_H-M_alt 'P 1'
_space_group_IT_number 1
loop_
_space_group_symop_operation_xyz
'x,y,z'
loop_
_atom_site_label
_atom_site_type_symbol
_atom_site_fract_x
_atom_site_fract_y
_atom_site_fract_z
Li1 Li 0.000 0.000 0.500
Li2 Li 0.000 0.500 0.000
Li3 Li 0.500 0.000 0.000
Mn1 Mn 0.000 0.000 0.000
C1 C 0.500 0.500 0.500

***

Which of them is the most stable, and which is the least stable? 1 and 2, in that order.